No. 1
## NpAlGaTc (PBE)

Data for a relaxed NpAlGaTc crystal.

Crystal system ... cubic
Energy relative to the elements ... 100 meV per atom
ρ ... 10.08 g/cm3

a b c (Å): 4.6502 4.6502 4.6502
angles (deg): 60.00 60.00 60.00
Atoms (fractional coordinates):
Np 0.0000 0.0000 0.0000
Al 0.5000 0.5000 0.5000
Ga 0.7500 0.7500 0.7500
Tc 0.2500 0.2500 0.2500

***

No. 2
## MnAlIn2 (PBE)

Data for a relaxed MnAlIn2 crystal.

Crystal system ... tetragonal
Energy relative to the elements ... 291 meV per atom
ρ ... 6.31 g/cm3

a b c (Å): 4.8764 4.8764 3.4455
angles (deg): 90.00 90.00 90.00
Atoms (fractional coordinates):
Mn 0.0000 0.0000 0.0000
Al 0.5000 0.5000 0.0000
In 0.0000 0.5000 0.5000
In 0.5000 0.0000 0.5000

***

No. 3
## RbBi2I2 (PBE)

Data for a relaxed RbBi2I2 crystal.

Crystal system ... tetragonal
ρ ... 5.96 g/cm3
Energy above the most stable polymorph in this dataset ... 0.0 kJ per mole of atoms

a b c (Å): 10.6014 10.6014 10.6014
angles (deg): 155.10 155.10 35.50
Atoms (fractional coordinates):
Rb 0.0000 0.0000 0.0000
Bi 0.2500 0.7500 0.5000
Bi 0.7500 0.2500 0.5000
I 0.3984 0.3984 0.0000
I 0.6016 0.6016 0.0000

***

No. 4
## Ta2SbIr (PBE)

Data for a relaxed Ta2SbIr crystal.

VASP energy ... -9.28 eV/atom
Crystal system ... monoclinic
ρ ... 15.84 g/cm3

a b c (Å): 2.9446 4.3078 5.5876
angles (deg): 90.00 90.65 90.00
Atoms (fractional coordinates):
Ta 0.0161 0.0000 0.2430
Ta 0.9839 0.0000 0.7570
Sb 0.5000 0.5000 0.5000
Ir 0.5000 0.5000 0.0000

***

No. 5
## Ac3IrPtF (PBE)

Data for a relaxed Ac3IrPtF crystal.

VASP energy ... -6.37 eV/atom
Crystal system ... monoclinic
ρ ... 10.50 g/cm3

a b c (Å): 8.7971 4.2685 9.3708
angles (deg): 90.00 102.12 90.00
Atoms (fractional coordinates):
Ac 0.0789 0.2500 0.3398
Ac 0.2767 0.2500 0.9884
Ac 0.3971 0.7500 0.6396
Ac 0.6029 0.2500 0.3604
Ac 0.7233 0.7500 0.0116
Ac 0.9211 0.7500 0.6602
Ir 0.1673 0.2500 0.6708
Ir 0.8327 0.7500 0.3292
Pt 0.3226 0.7500 0.2780
Pt 0.6774 0.2500 0.7220
F 0.4219 0.7500 0.9314
F 0.5781 0.2500 0.0686

***

No. 6
## VInNi (PBE)

Data for a relaxed VInNi crystal.

Crystal system ... tetragonal
Energy relative to the elements ... 26 meV per atom
ρ ... 8.15 g/cm3

a b c (Å): 5.6792 5.6792 5.6792
angles (deg): 149.97 149.97 42.98
Atoms (fractional coordinates):
V 0.0000 0.0000 0.0000
In 0.6973 0.6973 0.0000
Ni 0.3763 0.3763 0.0000

***

No. 7
## Sc2TlSn (PBE)

Data for a relaxed Sc2TlSn crystal.

Crystal system ... trigonal
Energy relative to the elements ... -329 meV per atom
ρ ... 6.99 g/cm3
Energy above the most stable polymorph in this dataset ... 7.5 kJ per mole of atoms

a b c (Å): 9.3404 9.3404 9.3404
angles (deg): 21.75 21.75 21.75
Atoms (fractional coordinates):
Sc 0.2487 0.2487 0.2487
Sc 0.7513 0.7513 0.7513
Tl 0.0000 0.0000 0.0000
Sn 0.5000 0.5000 0.5000

***

No. 8
## AgSbI2F (PBE)

Data for a relaxed AgSbI2F crystal.

Crystal system ... tetragonal
ρ ... 5.00 g/cm3
Energy above the most stable polymorph in this dataset ... 37.7 kJ per mole of atoms

a b c (Å): 5.5546 5.5546 5.4125
angles (deg): 90.00 90.00 90.00
Atoms (fractional coordinates):
Ag 0.0000 0.0000 0.0000
Sb 0.0000 0.0000 0.5000
I 0.0000 0.5000 0.0000
I 0.5000 0.0000 0.0000
F 0.5000 0.5000 0.5000

***

No. 9
## LiCeAu4 (PBE)

Data for a relaxed LiCeAu4 crystal.

Crystal system ... cubic
Energy relative to the elements ... -450 meV per atom
ρ ... 12.47 g/cm3
Energy above the most stable polymorph in this dataset ... 3.0 kJ per mole of atoms

a b c (Å): 5.6055 5.6055 5.6055
angles (deg): 60.00 60.00 60.00
Atoms (fractional coordinates):
Li 0.0000 0.0000 0.0000
Ce 0.2500 0.2500 0.2500
Au 0.1227 0.6258 0.6258
Au 0.6258 0.1227 0.6258
Au 0.6258 0.6258 0.1227
Au 0.6258 0.6258 0.6258

***

No. 10
## Ni5Pt (PBE)

Data for a relaxed Ni5Pt crystal.

Crystal system ... tetragonal
Energy relative to the elements ... 0 meV per atom
ρ ... 11.43 g/cm3

a b c (Å): 2.6047 2.6047 10.4583
angles (deg): 90.00 90.00 90.00
Atoms (fractional coordinates):
Ni 0.0000 0.0000 0.0000
Ni 0.0000 0.0000 0.3176
Ni 0.0000 0.0000 0.6824
Ni 0.5000 0.5000 0.1585
Ni 0.5000 0.5000 0.8415
Pt 0.5000 0.5000 0.5000

***

No. 11
## K3U3GeSe8 (PBE)

Data for a relaxed K3U3GeSe8 crystal.

VASP energy ... -5.77 eV/atom
Crystal system ... trigonal
ρ ... 5.39 g/cm3

a b c (Å): 9.1287 9.1287 9.1287
angles (deg): 54.84 54.84 54.84
Atoms (fractional coordinates):
K 0.0000 0.5000 0.5000
K 0.5000 0.0000 0.5000
K 0.5000 0.5000 0.0000
U 0.0000 0.0000 0.5000
U 0.0000 0.5000 0.0000
U 0.5000 0.0000 0.0000
Ge 0.5000 0.5000 0.5000
Se 0.2299 0.7331 0.7331
Se 0.2356 0.2356 0.2356
Se 0.2669 0.2669 0.7701
Se 0.2669 0.7701 0.2669
Se 0.7331 0.2299 0.7331
Se 0.7331 0.7331 0.2299
Se 0.7644 0.7644 0.7644
Se 0.7701 0.2669 0.2669

***

No. 12
## LiLaMgTl3 (PBE)

Data for a relaxed LiLaMgTl3 crystal.

Crystal system ... orthorhombic
Energy relative to the elements ... -51 meV per atom
ρ ... 7.67 g/cm3

a b c (Å): 7.8945 7.8945 6.9871
angles (deg): 90.00 90.00 128.87
Atoms (fractional coordinates):
Li 0.0847 0.9153 0.7500
Li 0.9153 0.0847 0.2500
La 0.3166 0.6834 0.7500
La 0.6834 0.3166 0.2500
Mg 0.3588 0.6412 0.2500
Mg 0.6412 0.3588 0.7500
Tl 0.1502 0.8498 0.2500
Tl 0.2712 0.2712 0.0000
Tl 0.2712 0.2712 0.5000
Tl 0.7288 0.7288 0.0000
Tl 0.7288 0.7288 0.5000
Tl 0.8498 0.1502 0.7500

***

No. 13
## Ce2EuIn (PBE)

Data for a relaxed Ce2EuIn crystal.

Crystal system ... cubic
Energy relative to the elements ... -30 meV per atom
ρ ... 7.52 g/cm3
Energy above the most stable polymorph in this dataset ... 10.0 kJ per mole of atoms

a b c (Å): 5.5475 5.5475 5.5475
angles (deg): 60.00 60.00 60.00
Atoms (fractional coordinates):
Ce 0.2500 0.2500 0.2500
Ce 0.7500 0.7500 0.7500
Eu 0.0000 0.0000 0.0000
In 0.5000 0.5000 0.5000

***

No. 14
## RbGe3I (PBE)

Data for a relaxed RbGe3I crystal.

Crystal system ... cubic
ρ ... 3.93 g/cm3
Energy above the most stable polymorph in this dataset ... 0.0 kJ per mole of atoms

a b c (Å): 5.6663 5.6663 5.6663
angles (deg): 90.00 90.00 90.00
Atoms (fractional coordinates):
Rb 0.0000 0.0000 0.0000
Ge 0.0000 0.5000 0.5000
Ge 0.5000 0.0000 0.5000
Ge 0.5000 0.5000 0.0000
I 0.5000 0.5000 0.5000

***

No. 15
## V3CS (PBE)

Data for a relaxed V3CS crystal.

Crystal system ... cubic
ρ ... 5.31 g/cm3
Energy above the most stable polymorph in this dataset ... 0.0 kJ per mole of atoms

a b c (Å): 3.9479 3.9479 3.9479
angles (deg): 90.00 90.00 90.00
Atoms (fractional coordinates):
V 0.0000 0.0000 0.5000
V 0.0000 0.5000 0.0000
V 0.5000 0.0000 0.0000
C 0.0000 0.0000 0.0000
S 0.5000 0.5000 0.5000

***

No. 16
## Sm2P4IrRh3 (PBE)

Data for a relaxed Sm2P4IrRh3 crystal.

Crystal system ... tetragonal
Energy relative to the elements ... -1070 meV per atom
ρ ... 9.34 g/cm3

a b c (Å): 4.1428 4.1428 9.5862
angles (deg): 90.00 90.00 90.00
Atoms (fractional coordinates):
Sm 0.0000 0.5000 0.2417
Sm 0.5000 0.0000 0.7583
P 0.0000 0.0000 0.0000
P 0.0000 0.5000 0.6397
P 0.5000 0.0000 0.3603
P 0.5000 0.5000 0.0000
Ir 0.0000 0.0000 0.5000
Rh 0.0000 0.5000 0.8861
Rh 0.5000 0.0000 0.1139
Rh 0.5000 0.5000 0.5000

***

No. 17
## SrDyPt (PBE)

Data for a relaxed SrDyPt crystal.

Crystal system ... tetragonal
Energy relative to the elements ... -820 meV per atom
ρ ... 8.18 g/cm3
Energy above the most stable polymorph in this dataset ... 0.0 kJ per mole of atoms

a b c (Å): 4.8669 4.8669 7.6339
angles (deg): 90.00 90.00 90.00
Atoms (fractional coordinates):
Sr 0.2500 0.2500 0.1268
Sr 0.7500 0.7500 0.8732
Dy 0.2500 0.7500 0.5000
Dy 0.7500 0.2500 0.5000
Pt 0.2500 0.2500 0.6985
Pt 0.7500 0.7500 0.3015

***

No. 18
## TcNi2Pt6 (PBE)

Data for a relaxed TcNi2Pt6 crystal.

Crystal system ... hexagonal
Energy relative to the elements ... -18 meV per atom
ρ ... 17.17 g/cm3

a b c (Å): 2.7642 2.7642 20.2530
angles (deg): 90.00 90.00 120.00
Atoms (fractional coordinates):
Tc 0.0000 0.0000 0.0000
Ni 0.3333 0.6667 0.3310
Ni 0.3333 0.6667 0.6690
Pt 0.0000 0.0000 0.2274
Pt 0.0000 0.0000 0.4334
Pt 0.0000 0.0000 0.5666
Pt 0.0000 0.0000 0.7726
Pt 0.3333 0.6667 0.1078
Pt 0.3333 0.6667 0.8922

***

No. 19
## AcThAlGa (PBE)

Data for a relaxed AcThAlGa crystal.

Crystal system ... cubic
Energy relative to the elements ... -248 meV per atom
ρ ... 8.26 g/cm3

a b c (Å): 5.4071 5.4071 5.4071
angles (deg): 60.00 60.00 60.00
Atoms (fractional coordinates):
Ac 0.0000 0.0000 0.0000
Th 0.5000 0.5000 0.5000
Al 0.7500 0.7500 0.7500
Ga 0.2500 0.2500 0.2500

***

No. 20
## Pm2DyEr (PBE)

Data for a relaxed Pm2DyEr crystal.

Crystal system ... trigonal
Energy relative to the elements ... 16 meV per atom
ρ ... 7.87 g/cm3
Energy above the most stable polymorph in this dataset ... 0.2 kJ per mole of atoms

a b c (Å): 11.8003 11.8003 11.8003
angles (deg): 17.57 17.57 17.57
Atoms (fractional coordinates):
Pm 0.0000 0.0000 0.0000
Pm 0.1668 0.1668 0.1668
Dy 0.4167 0.4167 0.4167
Er 0.5839 0.5839 0.5839

***

No. 21
## KCd6Ag6 (PBE)

Data for a relaxed KCd6Ag6 crystal.

Crystal system ... orthorhombic
Energy relative to the elements ... -61 meV per atom
ρ ... 8.00 g/cm3

a b c (Å): 7.5953 7.5953 7.5953
angles (deg): 135.95 98.94 97.24
Atoms (fractional coordinates):
K 0.0000 0.0000 0.0000
Cd 0.1974 0.6974 0.5000
Cd 0.3467 0.0000 0.3467
Cd 0.3496 0.3496 0.0000
Cd 0.6504 0.6504 0.0000
Cd 0.6533 0.0000 0.6533
Cd 0.8026 0.3026 0.5000
Ag 0.0000 0.0000 0.5000
Ag 0.0000 0.5000 0.0000
Ag 0.2296 0.5000 0.7296
Ag 0.5000 0.0000 0.0000
Ag 0.5000 0.5000 0.5000
Ag 0.7704 0.5000 0.2704

***

No. 22
## HfCoBi3 (PBE)

Data for a relaxed HfCoBi3 crystal.

Crystal system ... cubic
Energy relative to the elements ... 631 meV per atom
ρ ... 10.86 g/cm3
Energy above the most stable polymorph in this dataset ... 0.0 kJ per mole of atoms

a b c (Å): 5.0944 5.0944 5.0944
angles (deg): 90.00 90.00 90.00
Atoms (fractional coordinates):
Hf 0.0000 0.0000 0.0000
Co 0.5000 0.5000 0.5000
Bi 0.0000 0.5000 0.5000
Bi 0.5000 0.0000 0.5000
Bi 0.5000 0.5000 0.0000

***

No. 23
## ZrHgBi (PBE)

Data for a relaxed ZrHgBi crystal.

Crystal system ... tetragonal
Energy relative to the elements ... -235 meV per atom
ρ ... 10.38 g/cm3
Energy above the most stable polymorph in this dataset ... 0.0 kJ per mole of atoms

a b c (Å): 3.9619 3.9619 10.2038
angles (deg): 90.00 90.00 90.00
Atoms (fractional coordinates):
Zr 0.2500 0.2500 0.0915
Zr 0.7500 0.7500 0.9085
Hg 0.2500 0.2500 0.4165
Hg 0.7500 0.7500 0.5835
Bi 0.2500 0.2500 0.7894
Bi 0.7500 0.7500 0.2106

***

No. 24
## CeGa4Hg (PBE)

Data for a relaxed CeGa4Hg crystal.

Crystal system ... cubic
Energy relative to the elements ... -197 meV per atom
ρ ... 8.15 g/cm3

a b c (Å): 5.6299 5.6299 5.6299
angles (deg): 60.00 60.00 60.00
Atoms (fractional coordinates):
Ce 0.0000 0.0000 0.0000
Ga 0.1243 0.6252 0.6252
Ga 0.6252 0.1243 0.6252
Ga 0.6252 0.6252 0.1243
Ga 0.6252 0.6252 0.6252
Hg 0.2500 0.2500 0.2500

***

No. 25
## Mo2PtPb2 (PBE)

Data for a relaxed Mo2PtPb2 crystal.

Crystal system ... tetragonal
Energy relative to the elements ... 965 meV per atom
ρ ... 12.01 g/cm3
Energy above the most stable polymorph in this dataset ... 46.4 kJ per mole of atoms

a b c (Å): 7.2997 7.2997 7.2997
angles (deg): 147.68 147.68 46.36
Atoms (fractional coordinates):
Mo 0.0818 0.0818 0.0000
Mo 0.9182 0.9182 0.0000
Pt 0.5000 0.5000 0.0000
Pb 0.2500 0.7500 0.5000
Pb 0.7500 0.2500 0.5000

***

No. 26
## NaMn3Cr (PBE)

Data for a relaxed NaMn3Cr crystal.

Crystal system ... cubic
Energy relative to the elements ... 1954 meV per atom
ρ ... 3.84 g/cm3
Energy above the most stable polymorph in this dataset ... 98.3 kJ per mole of atoms

a b c (Å): 4.6998 4.6998 4.6998
angles (deg): 90.00 90.00 90.00
Atoms (fractional coordinates):
Na 0.0000 0.0000 0.0000
Mn 0.0000 0.0000 0.5000
Mn 0.0000 0.5000 0.0000
Mn 0.5000 0.0000 0.0000
Cr 0.5000 0.5000 0.5000

***

No. 27
## MgSi2Rh (PBE)

Data for a relaxed MgSi2Rh crystal.

VASP energy ... -5.05 eV/atom
Crystal system ... tetragonal
ρ ... 4.35 g/cm3

a b c (Å): 8.8846 8.8846 8.8846
angles (deg): 153.44 153.44 37.91
Atoms (fractional coordinates):
Mg 0.0000 0.0000 0.0000
Mg 0.7500 0.2500 0.5000
Si 0.2108 0.6250 0.0858
Si 0.3750 0.4608 0.5858
Si 0.5392 0.1250 0.9142
Si 0.8750 0.7892 0.4142
Rh 0.2500 0.7500 0.5000
Rh 0.5000 0.5000 0.0000